Compound: La2PbCl
Source: the Alexandria database
Functional: GGA-PBE
Structure: relaxed

Unit cell a=5.5072 b=5.5072 c=5.5072 alpha=60.00 beta=60.00 gamma=60.00
Last column: nearest neighbours and their distance in Å.
Sites, in units of the cell vectors:
1 Pb 0.7500 0.7500 0.7500  4 Cl 3.37, 4 La 3.37
2 Cl 0.5000 0.5000 0.5000  4 Pb 3.37, 4 La 3.37
3 La 0.0000 0.0000 0.0000  4 La 3.37, 4 Pb 3.37
4 La 0.2500 0.2500 0.2500  4 Cl 3.37, 4 La 3.37

Values from the calculation:
Space-group type: F-43m
Formation energy from raw total energies, meV per atom: -345
DOS(E_F), states/eV/f.u.: 4.2

***

Compound: Nd3Hg2Rh2
Source: the Alexandria database
Functional: GGA-PBE
Structure: relaxed

Unit cell a=3.9562 b=3.8870 c=11.5834 alpha=90.00 beta=80.17 gamma=90.00
Last column: nearest neighbours and their distance in Å.
Sites, in units of the cell vectors:
1 Nd 0.8257 0.0000 0.3486  4 Rh 2.89
2 Nd 0.0000 0.0000 0.0000  8 Hg 3.37
3 Nd 0.1743 0.0000 0.6514  4 Rh 2.89
4 Hg 0.5840 0.5000 0.8320  1 Rh 2.89
5 Hg 0.4160 0.5000 0.1680  1 Rh 2.89
6 Rh 0.7106 0.5000 0.5788  2 Rh 2.67, 1 Hg 2.89, 4 Nd 2.89
7 Rh 0.2894 0.5000 0.4212  2 Rh 2.67, 1 Hg 2.89, 4 Nd 2.89

Values from the calculation:
Space-group type: Cmmm
Energy of formation from the pure elements, eV/atom: -0.56
DOS(E_F), states/eV/f.u.: 3.8

***

Compound: TbYHoAg
Source: the Alexandria database
Functional: GGA-PBE
Structure: relaxed

Unit cell a=3.5645 b=3.5645 c=8.8756 alpha=90.00 beta=90.00 gamma=90.00
Last column: nearest neighbours and their distance in Å.
Sites, in units of the cell vectors:
1 Tb 0.0000 0.0000 0.0739  4 Tb 3.56, 4 Ho 3.57, 4 Y 3.59
2 Y 0.5000 0.5000 0.7855  4 Ag 3.18
3 Ho 0.5000 0.5000 0.3580  4 Ag 3.13
4 Ag 0.0000 0.0000 0.5672  4 Ho 3.13, 4 Y 3.18

Values from the calculation:
Space-group type: P4mm
Energy of formation from the pure elements, eV/atom: -0.13
DOS(E_F), states/eV/f.u.: 5.0

***

Compound: YNbAl2Se
Source: the Alexandria database
Functional: GGA-PBE
Structure: relaxed

Unit cell a=5.4558 b=5.0368 c=5.4558 alpha=90.00 beta=90.00 gamma=90.00
Last column: nearest neighbours and their distance in Å.
Sites, in units of the cell vectors:
1 Y 0.0000 0.0000 0.0000  2 Nb 2.52, 4 Al 2.73
2 Nb 0.0000 0.5000 0.0000  2 Y 2.52
3 Al 0.0000 0.0000 0.5000  2 Y 2.73
4 Al 0.5000 0.0000 0.0000  2 Y 2.73
5 Se 0.5000 0.5000 0.5000  8 Al 3.71, 4 Nb 3.86

Values from the calculation:
Space-group type: P4/mmm
Formation energy from raw total energies, meV per atom: 1432
DOS(E_F), states/eV/f.u.: 5.1